Entry 1:
Density functional theory data (PBE) for an optimized crystal structure of BaReW.

Lattice parameters (Å, degrees): 4.2170 4.2170 5.6112 90.00 90.00 120.00
With the nearest neighbours (Å) after each atom.
Element x y z (fractional)
Ba 0.0000 0.0000 0.0000  6 Re 3.71, 6 W 3.71
Re 0.6667 0.3333 0.5000  3 W 2.43
W 0.3333 0.6667 0.5000  3 Re 2.43

- energy above the most stable polymorph in this dataset (eV per atom) = 0.178
- calculated total energy (eV per cell) = -24.42
- space-group type = P-6m2 (187)
- ΔE_f (eV/f.u.) = 2.9
- spin magnetization (μB per formula unit) = 0.0


Entry 2:
Density functional theory data (PBE) for an optimized crystal structure of BaReW3.

Lattice parameters (Å, degrees): 4.8516 4.8516 4.8516 90.00 90.00 90.00
With the nearest neighbours (Å) after each atom.
Element x y z (fractional)
Ba 0.0000 0.0000 0.0000  6 W 2.43
Re 0.5000 0.5000 0.5000  12 W 3.43
W 0.0000 0.0000 0.5000  2 Ba 2.43
W 0.0000 0.5000 0.0000  2 Ba 2.43
W 0.5000 0.0000 0.0000  2 Ba 2.43

- energy above the most stable polymorph in this dataset (eV per atom) = 2.520
- calculated total energy (eV per cell) = -31.96
- space-group type = Pm-3m (221)
- ΔE_f (eV/f.u.) = 21.3
- spin magnetization (μB per formula unit) = 0.0


Entry 3:
Density functional theory data (PBE) for an optimized crystal structure of BaRe2W.

Lattice parameters (Å, degrees): 7.6657 7.6657 6.1850 90.00 90.00 90.00
With the nearest neighbours (Å) after each atom.
Element x y z (fractional)
Ba 0.0000 0.0000 0.0000  2 W 3.09, 8 Re 3.16-3.34
Ba 0.0000 0.5000 0.2500  2 W 3.09, 8 Re 3.16-3.34
Ba 0.5000 0.0000 0.7500  2 W 3.09, 8 Re 3.16-3.34
Ba 0.5000 0.5000 0.5000  2 W 3.09, 8 Re 3.16-3.34
Re 0.1877 0.2500 0.6250  2 W 2.52
Re 0.2500 0.6877 0.8750  2 W 2.52
Re 0.2500 0.8123 0.3750  2 W 2.52
Re 0.3123 0.2500 0.1250  2 W 2.52
Re 0.6877 0.7500 0.1250  2 W 2.52
Re 0.7500 0.1877 0.3750  2 W 2.52
Re 0.7500 0.3123 0.8750  2 W 2.52
Re 0.8123 0.7500 0.6250  2 W 2.52
W 0.0000 0.0000 0.5000  4 Re 2.52
W 0.0000 0.5000 0.7500  4 Re 2.52
W 0.5000 0.0000 0.2500  4 Re 2.52
W 0.5000 0.5000 0.0000  4 Re 2.52

- energy above the most stable polymorph in this dataset (eV per atom) = 0.821
- calculated total energy (eV per cell) = -134.02
- space-group type = I-42d (122)
- ΔE_f (eV/f.u.) = 6.3
- spin magnetization (μB per formula unit) = 0.0


Entry 4:
Density functional theory data (PBE) for an optimized crystal structure of BaRe2W.

Lattice parameters (Å, degrees): 3.2105 3.2105 8.1331 90.00 90.00 90.00
With the nearest neighbours (Å) after each atom.
Element x y z (fractional)
Ba 0.0000 0.0000 0.0000  4 Ba 3.21, 8 Re 3.50
Re 0.5000 0.5000 0.3269  4 W 2.67, 1 Re 2.82
Re 0.5000 0.5000 0.6731  4 W 2.67, 1 Re 2.82
W 0.0000 0.0000 0.5000  8 Re 2.67

- energy above the most stable polymorph in this dataset (eV per atom) = 0.000
- calculated total energy (eV per cell) = -36.79
- space-group type = P4/mmm (123)
- ΔE_f (eV/f.u.) = 3.0
- spin magnetization (μB per formula unit) = 0.0


Entry 5:
Density functional theory data (PBE) for an optimized crystal structure of BaReW.

Lattice parameters (Å, degrees): 3.3574 3.3574 7.6700 90.00 90.00 120.00
With the nearest neighbours (Å) after each atom.
Element x y z (fractional)
Ba 0.0000 0.0000 0.0000  6 Ba 3.36, 3 Re 3.57, 3 W 3.70
Re 0.6667 0.3333 0.3907  3 W 2.47
W 0.3333 0.6667 0.5894  3 Re 2.47

- energy above the most stable polymorph in this dataset (eV per atom) = 0.353
- calculated total energy (eV per cell) = -23.90
- space-group type = P3m1 (156)
- ΔE_f (eV/f.u.) = 3.4
- spin magnetization (μB per formula unit) = 0.0


Entry 6:
Density functional theory data (PBE) for an optimized crystal structure of BaRe2W.

Lattice parameters (Å, degrees): 5.9818 9.5128 2.8379 90.00 109.86 90.00
With the nearest neighbours (Å) after each atom.
Element x y z (fractional)
Ba 0.0000 0.0000 0.0000  2 Ba 2.84, 4 Re 2.91, 2 W 2.99
Ba 0.5000 0.5000 0.0000  2 Ba 2.84, 4 Re 2.91, 2 W 2.99
Re 0.2500 0.2500 0.5000  4 Re 2.84-2.99, 2 Ba 2.91, 2 W 2.91
Re 0.2500 0.7500 0.5000  4 Re 2.84-2.99, 2 Ba 2.91, 2 W 2.91
Re 0.7500 0.2500 0.5000  4 Re 2.84-2.99, 2 Ba 2.91, 2 W 2.91
Re 0.7500 0.7500 0.5000  4 Re 2.84-2.99, 2 W 2.91, 2 Ba 2.91
W 0.0000 0.5000 0.0000  2 W 2.84, 4 Re 2.91, 2 Ba 2.99
W 0.5000 0.0000 0.0000  2 W 2.84, 4 Re 2.91, 2 Ba 2.99

- energy above the most stable polymorph in this dataset (eV per atom) = 0.803
- calculated total energy (eV per cell) = -67.16
- space-group type = C2/m (12)
- ΔE_f (eV/f.u.) = 6.2
- spin magnetization (μB per formula unit) = 0.0


Entry 7:
Density functional theory data (PBE) for an optimized crystal structure of BaReW.

Lattice parameters (Å, degrees): 6.6322 6.6322 6.6322 90.00 90.00 90.00
With the nearest neighbours (Å) after each atom.
Element x y z (fractional)
Ba 0.0000 0.0000 0.0000  4 Re 2.87
Ba 0.0000 0.5000 0.5000  4 Re 2.87
Ba 0.5000 0.0000 0.5000  4 Re 2.87
Ba 0.5000 0.5000 0.0000  4 Re 2.87
Re 0.2500 0.2500 0.2500  4 Ba 2.87, 4 W 2.87
Re 0.2500 0.7500 0.7500  4 Ba 2.87, 4 W 2.87
Re 0.7500 0.2500 0.7500  4 Ba 2.87, 4 W 2.87
Re 0.7500 0.7500 0.2500  4 Ba 2.87, 4 W 2.87
W 0.0000 0.0000 0.5000  4 Re 2.87
W 0.0000 0.5000 0.0000  4 Re 2.87
W 0.5000 0.0000 0.0000  4 Re 2.87
W 0.5000 0.5000 0.5000  4 Re 2.87

- energy above the most stable polymorph in this dataset (eV per atom) = 0.899
- calculated total energy (eV per cell) = -89.05
- space-group type = F-43m (216)
- ΔE_f (eV/f.u.) = 5.1
- spin magnetization (μB per formula unit) = 0.0


Entry 8:
Density functional theory data (PBE) for an optimized crystal structure of BaRe2W.

Lattice parameters (Å, degrees): 6.7141 6.7141 6.7141 90.00 90.00 90.00
With the nearest neighbours (Å) after each atom.
Element x y z (fractional)
Ba 0.0000 0.0000 0.0000  8 Re 2.91
Ba 0.0000 0.5000 0.5000  8 Re 2.91
Ba 0.5000 0.0000 0.5000  8 Re 2.91
Ba 0.5000 0.5000 0.0000  8 Re 2.91
Re 0.2500 0.2500 0.2500  4 Ba 2.91, 4 W 2.91
Re 0.2500 0.2500 0.7500  4 Ba 2.91, 4 W 2.91
Re 0.2500 0.7500 0.2500  4 Ba 2.91, 4 W 2.91
Re 0.2500 0.7500 0.7500  4 Ba 2.91, 4 W 2.91
Re 0.7500 0.2500 0.2500  4 Ba 2.91, 4 W 2.91
Re 0.7500 0.2500 0.7500  4 Ba 2.91, 4 W 2.91
Re 0.7500 0.7500 0.2500  4 Ba 2.91, 4 W 2.91
Re 0.7500 0.7500 0.7500  4 Ba 2.91, 4 W 2.91
W 0.0000 0.0000 0.5000  8 Re 2.91
W 0.0000 0.5000 0.0000  8 Re 2.91
W 0.5000 0.0000 0.0000  8 Re 2.91
W 0.5000 0.5000 0.5000  8 Re 2.91

- energy above the most stable polymorph in this dataset (eV per atom) = 0.708
- calculated total energy (eV per cell) = -135.83
- space-group type = Fm-3m (225)
- ΔE_f (eV/f.u.) = 5.8
- spin magnetization (μB per formula unit) = 0.0


Entry 9:
Density functional theory data (PBE) for an optimized crystal structure of BaRe2W.

Lattice parameters (Å, degrees): 9.5696 3.1195 6.5870 90.00 103.49 90.00
With the nearest neighbours (Å) after each atom.
Element x y z (fractional)
Ba 0.0000 0.0000 0.0000  2 Ba 3.12
Ba 0.5000 0.5000 0.0000  2 Ba 3.12
Re 0.2162 0.0000 0.6309  2 Re 2.52, 2 W 2.57
Re 0.2838 0.5000 0.3691  2 Re 2.52, 2 W 2.57
Re 0.7162 0.5000 0.6309  2 Re 2.52, 2 W 2.57
Re 0.7838 0.0000 0.3691  2 Re 2.52, 2 W 2.57
W 0.0000 0.5000 0.5000  4 Re 2.57
W 0.5000 0.0000 0.5000  4 Re 2.57

- energy above the most stable polymorph in this dataset (eV per atom) = 0.165
- calculated total energy (eV per cell) = -72.26
- space-group type = C2/m (12)
- ΔE_f (eV/f.u.) = 3.6
- spin magnetization (μB per formula unit) = 0.0


Entry 10:
Density functional theory data (PBE) for an optimized crystal structure of BaReW.

Lattice parameters (Å, degrees): 3.3563 5.0113 15.6542 90.00 90.00 90.00
With the nearest neighbours (Å) after each atom.
Element x y z (fractional)
Ba 0.0000 0.0000 0.0000  6 Ba 3.02-3.36, 2 Re 3.37
Ba 0.0000 0.5000 0.5000  6 Ba 3.02-3.36, 2 Re 3.37
Ba 0.5000 0.0000 0.5000  6 Ba 3.02-3.36, 2 Re 3.37
Ba 0.5000 0.5000 0.0000  6 Ba 3.02-3.36, 2 Re 3.37
Re 0.0000 0.0000 0.3133  2 W 2.50
Re 0.0000 0.5000 0.8133  2 W 2.50
Re 0.5000 0.0000 0.8133  2 W 2.50
Re 0.5000 0.5000 0.3133  2 W 2.50
W 0.0000 0.0000 0.6952  2 Re 2.50
W 0.0000 0.5000 0.1952  2 Re 2.50
W 0.5000 0.0000 0.1952  2 Re 2.50
W 0.5000 0.5000 0.6952  2 Re 2.50

- energy above the most stable polymorph in this dataset (eV per atom) = 0.314
- calculated total energy (eV per cell) = -96.08
- space-group type = Fmm2 (42)
- ΔE_f (eV/f.u.) = 3.3
- spin magnetization (μB per formula unit) = 0.0


Entry 11:
Density functional theory data (PBE) for an optimized crystal structure of BaReW3.

Lattice parameters (Å, degrees): 4.9373 4.9373 4.9373 90.00 90.00 90.00
With the nearest neighbours (Å) after each atom.
Element x y z (fractional)
Ba 0.0000 0.0000 0.0000  12 W 3.49
Re 0.5000 0.5000 0.5000  6 W 2.47
W 0.0000 0.5000 0.5000  2 Re 2.47
W 0.5000 0.0000 0.5000  2 Re 2.47
W 0.5000 0.5000 0.0000  2 Re 2.47

- energy above the most stable polymorph in this dataset (eV per atom) = 0.000
- calculated total energy (eV per cell) = -44.56
- space-group type = Pm-3m (221)
- ΔE_f (eV/f.u.) = 8.7
- spin magnetization (μB per formula unit) = 0.5


Entry 12:
Density functional theory data (PBE) for an optimized crystal structure of Ba3ReW.

Lattice parameters (Å, degrees): 5.9003 5.9003 5.9003 90.00 90.00 90.00
With the nearest neighbours (Å) after each atom.
Element x y z (fractional)
Ba 0.0000 0.0000 0.5000  2 Re 2.95
Ba 0.0000 0.5000 0.0000  2 Re 2.95
Ba 0.5000 0.0000 0.0000  2 Re 2.95
Re 0.0000 0.0000 0.0000  6 Ba 2.95
W 0.5000 0.5000 0.5000  12 Ba 4.17

- energy above the most stable polymorph in this dataset (eV per atom) = 0.000
- calculated total energy (eV per cell) = -22.50
- space-group type = Pm-3m (221)
- ΔE_f (eV/f.u.) = 8.7
- spin magnetization (μB per formula unit) = 4.9


Repeat the fourth record exactly.
Density functional theory data (PBE) for an optimized crystal structure of BaRe2W.

Lattice parameters (Å, degrees): 3.2105 3.2105 8.1331 90.00 90.00 90.00
With the nearest neighbours (Å) after each atom.
Element x y z (fractional)
Ba 0.0000 0.0000 0.0000  4 Ba 3.21, 8 Re 3.50
Re 0.5000 0.5000 0.3269  4 W 2.67, 1 Re 2.82
Re 0.5000 0.5000 0.6731  4 W 2.67, 1 Re 2.82
W 0.0000 0.0000 0.5000  8 Re 2.67

- energy above the most stable polymorph in this dataset (eV per atom) = 0.000
- calculated total energy (eV per cell) = -36.79
- space-group type = P4/mmm (123)
- ΔE_f (eV/f.u.) = 3.0
- spin magnetization (μB per formula unit) = 0.0


> The highest energy above the most stable polymorph in this dataset belongs to which entry?

number 2


> What is the spin magnetization in the sixth record?

0.0 μB per formula unit